[1]
Computed, not measured: crystalline K2ZnSn4Au3 at its relaxed geometry at the PBE level of DFT.

Calculated values
energy relative to the elements	-0.2564	eV per atom
calculated volume	267	Å³ per cell
DFT total energy	-3.1876	eV per atom

a b c (Å): 4.8239 4.8239 11.4697
angles (deg): 90.00 90.00 90.00
Element x y z (fractional)
Au  0.0000  0.0000  0.5000
Au  0.5000  0.0000  0.8666
Au  0.0000  0.5000  0.1334
Sn  0.5000  0.5000  0.0000
Sn  0.5000  0.0000  0.6255
Sn  0.0000  0.5000  0.3745
Sn  0.0000  0.0000  0.0000
Zn  0.5000  0.5000  0.5000
K  0.0000  0.5000  0.7426
K  0.5000  0.0000  0.2574

=====

[2]
Computed, not measured: crystalline GaPd6S2 at its relaxed geometry at the PBE level of DFT.

Calculated values
calculated volume	178	Å³ per cell
DFT total energy	-4.8249	eV per atom
E_form (uncorrected)	-0.1095	eV per atom

a b c (Å): 4.2896 5.8514 7.6371
angles (deg): 91.68 90.00 111.50
Element x y z (fractional)
Pd  0.4351  0.8702  0.3421
Pd  0.2298  0.4595  0.8883
Pd  0.0372  0.0745  0.1727
Pd  0.7702  0.5405  0.1117
Pd  0.9628  0.9255  0.8273
Pd  0.5649  0.1298  0.6579
Ga  0.0000  0.0000  0.5000
S  0.7560  0.5120  0.7809
S  0.2440  0.4880  0.2191

=====

[3]
Computed, not measured: crystalline Re2Au at its relaxed geometry at the PBE level of DFT.

Calculated values
energy relative to the elements	0.3067	eV per atom
calculated volume	97	Å³ per cell
DFT total energy	-9.0845	eV per atom
energy above the most stable polymorph in this dataset	0.087	eV per atom

a b c (Å): 6.2340 6.2340 4.0784
angles (deg): 90.00 90.00 142.28
Element x y z (fractional)
Re  0.6082  0.3918  0.2500
Re  0.3918  0.6082  0.7500
Re  0.2477  0.7523  0.2500
Re  0.7523  0.2477  0.7500
Au  0.9196  0.0804  0.2500
Au  0.0804  0.9196  0.7500

=====

[4]
Computed, not measured: crystalline Sm3CuSn at its relaxed geometry at the PBE level of DFT.

Calculated values
energy relative to the elements	-0.3424	eV per atom
calculated volume	282	Å³ per cell
DFT total energy	-4.7937	eV per atom

a b c (Å): 3.7737 8.5958 8.9246
angles (deg): 92.05 89.99 102.65
Last column: magnetic moment on the atom in μB.
Element x y z (fractional)
Cu  0.2355  0.5025  0.6480  0.00
Cu  0.8094  0.6527  0.7741  0.00
Sm  0.4177  0.8702  0.6617  0.05
Sm  0.2777  0.5893  0.0147  0.01
Sm  0.0654  0.1642  0.4137  0.06
Sm  0.7660  0.5643  0.4069  0.01
Sm  0.6266  0.2842  0.7595  0.05
Sm  0.9781  0.9894  0.0077  0.06
Sn  0.4105  0.8538  0.2895  0.00
Sn  0.6329  0.2998  0.1319  0.00

=====

[5]
Computed, not measured: crystalline KAlZn2O4 at its relaxed geometry at the PBE level of DFT.

Calculated values
calculated volume	104	Å³ per cell
DFT total energy	-5.2762	eV per atom
E_form (uncorrected)	-1.8736	eV per atom

a b c (Å): 5.1904 5.1904 5.3266
angles (deg): 119.16 119.16 90.00
Element x y z (fractional)
Zn  0.7500  0.2500  0.5001
Zn  0.2500  0.7500  0.5001
O  0.8345  0.4507  0.2852
O  0.4507  0.8345  0.2852
O  0.1656  0.1656  0.7150
O  0.5494  0.5494  0.7150
K  0.0000  0.0000  0.0001
Al  0.5000  0.5000  0.0001

=====

[6]
Computed, not measured: crystalline Ac2WS6 at its relaxed geometry at the PBE level of DFT.

Calculated values
calculated volume	448	Å³ per cell
DFT total energy	-6.4657	eV per atom
E_form (uncorrected)	-1.3619	eV per atom

a b c (Å): 6.3969 7.6356 9.1726
angles (deg): 90.00 91.86 90.00
Element x y z (fractional)
S  0.4137  0.5191  0.7457
S  0.1821  0.3396  0.0427
S  0.3380  0.7814  0.0450
S  0.6620  0.2186  0.9550
S  0.3179  0.8396  0.4573
S  0.8380  0.7186  0.5450
S  0.8179  0.6604  0.9573
S  0.5863  0.4809  0.2543
S  0.9137  0.9809  0.2457
S  0.0863  0.0191  0.7543
S  0.6821  0.1604  0.5427
S  0.1620  0.2814  0.4550
W  0.5000  0.5000  0.0000
W  0.0000  0.0000  0.5000
Ac  0.0417  0.6048  0.2571
Ac  0.9583  0.3952  0.7429
Ac  0.5417  0.8952  0.7571
Ac  0.4583  0.1048  0.2429

=====

[7]
Computed, not measured: crystalline Cr5As at its relaxed geometry at the PBE level of DFT.

Calculated values
energy relative to the elements	0.0117	eV per atom
calculated volume	72	Å³ per cell
DFT total energy	-8.7827	eV per atom
energy above the most stable polymorph in this dataset	0.000	eV per atom

a b c (Å): 4.7252 4.7252 5.6951
angles (deg): 72.10 72.10 36.51
Element x y z (fractional)
Cr  0.6412  0.6412  0.7155
Cr  0.2999  0.2999  0.8882
Cr  0.3033  0.3033  0.3955
Cr  0.9722  0.9722  0.5556
Cr  0.6445  0.6445  0.2230
As  0.9722  0.9722  0.0555

=====

[8]
Computed, not measured: crystalline YMg2Pb at its relaxed geometry at the PBE level of DFT.

Calculated values
energy relative to the elements	-0.1793	eV per atom
calculated volume	106	Å³ per cell
DFT total energy	-3.5197	eV per atom

a b c (Å): 4.7000 3.5203 6.6699
angles (deg): 74.51 90.00 90.00
Element x y z (fractional)
Mg  0.5000  0.4516  0.2275
Mg  0.0000  0.0489  0.0269
Y  0.5000  0.6982  0.7262
Pb  0.0000  0.3013  0.5194

=====

[9]
Computed, not measured: crystalline Tc2C at its relaxed geometry at the PBE level of DFT.

Calculated values
energy relative to the elements	0.3039	eV per atom
calculated volume	142	Å³ per cell
DFT total energy	-9.6814	eV per atom
energy above the most stable polymorph in this dataset	0.230	eV per atom

a b c (Å): 4.1032 6.1372 5.6549
angles (deg): 90.00 90.00 90.00
Element x y z (fractional)
Tc  0.7500  0.4484  0.3734
Tc  0.2500  0.1358  0.3922
Tc  0.7500  0.3642  0.8922
Tc  0.7500  0.9484  0.1266
Tc  0.2500  0.6358  0.1078
Tc  0.7500  0.8642  0.6078
Tc  0.2500  0.0516  0.8734
Tc  0.2500  0.5516  0.6266
C  0.2500  0.3135  0.0771
C  0.7500  0.6865  0.9229
C  0.2500  0.8135  0.4229
C  0.7500  0.1865  0.5771

=====

[10]
Computed, not measured: crystalline CaLa2Tl at its relaxed geometry at the PBE level of DFT.

Calculated values
energy relative to the elements	-0.1632	eV per atom
calculated volume	133	Å³ per cell
DFT total energy	-3.7189	eV per atom
energy above the most stable polymorph in this dataset	0.035	eV per atom

a b c (Å): 3.7528 4.7831 7.3831
angles (deg): 90.00 90.00 90.00
Element x y z (fractional)
Tl  0.0000  0.0000  0.4993
Ca  0.5000  0.5000  0.7221
La  0.5000  0.5000  0.2508
La  0.0000  0.0000  0.0279

=====

[11]
Computed, not measured: crystalline Er6ScSe8 at its relaxed geometry at the PBE level of DFT.

Calculated values
calculated volume	365	Å³ per cell
DFT total energy	-5.8833	eV per atom
E_form (uncorrected)	-1.7777	eV per atom

a b c (Å): 8.0229 8.0229 8.0229
angles (deg): 60.00 60.00 60.00
Element x y z (fractional)
Se  0.7524  0.7524  0.2476
Se  0.2500  0.2500  0.2500
Se  0.7524  0.2476  0.7524
Se  0.2476  0.7524  0.7524
Se  0.2476  0.2476  0.7524
Se  0.7500  0.7500  0.7500
Se  0.2476  0.7524  0.2476
Se  0.7524  0.2476  0.2476
Er  0.5000  0.0000  0.5000
Er  0.5000  0.5000  0.0000
Er  0.0000  0.5000  0.5000
Er  0.0000  0.0000  0.5000
Er  0.5000  0.0000  0.0000
Er  0.0000  0.5000  0.0000
Sc  0.0000  0.0000  0.0000

=====

[12]
Computed, not measured: crystalline HoEr6Pt2 at its relaxed geometry at the PBE level of DFT.

Calculated values
energy relative to the elements	-0.5884	eV per atom
calculated volume	243	Å³ per cell
DFT total energy	-5.4813	eV per atom

a b c (Å): 3.6861 8.1501 8.5702
angles (deg): 80.13 77.58 76.93
Element x y z (fractional)
Pt  0.5959  0.5768  0.2314
Pt  0.4041  0.4232  0.7686
Er  0.6939  0.1663  0.4459
Er  0.0271  0.1365  0.8093
Er  0.3061  0.8337  0.5541
Er  0.7218  0.6704  0.8860
Er  0.9729  0.8635  0.1907
Er  0.2782  0.3296  0.1140
Ho  0.0000  0.5000  0.5000